First-principles (PBE-GGA) data for a geometry-optimized Tc2BH structure, as listed in the Alexandria database.

```
Tc2BH
1.0
-2.917 -3.283 0.833
3.235 -2.376 1.967
-0.815 -0.996 5.216
H B Tc
2 2 4
Direct
0.500 0.500 0.000
0.250 0.750 0.500
0.000 0.000 0.000
0.750 0.250 0.500
0.581 0.125 0.250
0.169 0.625 0.250
0.375 0.419 0.750
0.875 0.831 0.750
```

- calculated total energy (eV/cell) = -57.73
- density of states at the Fermi level (states/eV per cell) = 5.10
- magnetization (μB/f.u.) = 0.00

=====

First-principles (PBE-GGA) data for a geometry-optimized TcBH3 structure, as listed in the Alexandria database.

```
TcBH3
1.0
3.049 0.000 0.000
0.000 3.049 0.000
0.000 0.000 3.049
H B Tc
3 1 1
Direct
0.000 0.500 0.000
0.000 0.000 0.500
0.500 0.000 0.000
0.000 0.000 0.000
0.500 0.500 0.500
```

- calculated total energy (eV/cell) = -22.94
- density of states at the Fermi level (states/eV per cell) = 2.37
- magnetization (μB/f.u.) = 0.00

=====

First-principles (PBE-GGA) data for a geometry-optimized Tc2BH structure, as listed in the Alexandria database.

```
Tc2BH
1.0
0.000 2.687 2.687
2.687 0.000 2.687
2.687 2.687 0.000
H B Tc
1 1 2
Direct
0.000 0.000 0.000
0.500 0.500 0.500
0.250 0.250 0.250
0.750 0.750 0.750
```

- calculated total energy (eV/cell) = -29.29
- density of states at the Fermi level (states/eV per cell) = 3.02
- magnetization (μB/f.u.) = 0.00

=====

First-principles (PBE-GGA) data for a geometry-optimized TcB2H2 structure, as listed in the Alexandria database.

```
TcB2H2
1.0
-2.460 -4.101 -0.843
3.173 -2.464 2.728
-1.669 0.508 2.400
H B Tc
4 4 2
Direct
0.156 0.656 0.000
0.656 0.844 0.000
0.844 0.344 0.000
0.344 0.156 0.000
0.122 0.622 0.500
0.622 0.878 0.500
0.878 0.378 0.500
0.378 0.122 0.500
0.000 0.000 0.000
0.500 0.500 0.000
```

- calculated total energy (eV/cell) = -55.70
- density of states at the Fermi level (states/eV per cell) = 3.30
- magnetization (μB/f.u.) = 0.67

=====

First-principles (PBE-GGA) data for a geometry-optimized TcB3H structure, as listed in the Alexandria database.

```
TcB3H
1.0
-1.208 0.536 -3.865
3.148 -2.256 -1.296
-2.305 -3.362 0.254
H B Tc
1 3 1
Direct
0.500 0.500 0.500
0.000 0.500 0.000
0.000 0.000 0.500
0.500 0.000 0.000
0.000 0.000 0.000
```

- calculated total energy (eV/cell) = -25.94
- density of states at the Fermi level (states/eV per cell) = 1.40
- magnetization (μB/f.u.) = 0.93

=====

First-principles (PBE-GGA) data for a geometry-optimized Tc3BH structure, as listed in the Alexandria database.

```
Tc3BH
1.0
-1.734 -3.365 0.135
2.827 -1.372 2.116
-1.831 1.069 3.140
H B Tc
1 1 3
Direct
0.000 0.000 0.000
0.500 0.500 0.500
0.000 0.500 0.000
0.000 0.000 0.500
0.500 0.000 0.000
```

- calculated total energy (eV/cell) = -38.52
- density of states at the Fermi level (states/eV per cell) = 4.34
- magnetization (μB/f.u.) = 0.00

=====

First-principles (PBE-GGA) data for a geometry-optimized TcB2H6 structure, as listed in the Alexandria database.

```
TcB2H6
1.0
0.682 -2.554 2.538
6.969 -3.007 -0.025
1.280 0.187 3.419
Tc B H
1 2 6
Direct
0.000 0.000 0.000
0.862 0.798 0.674
0.138 0.202 0.326
0.071 0.775 0.862
0.998 0.379 0.354
0.660 0.215 0.863
0.929 0.225 0.138
0.002 0.621 0.646
0.340 0.785 0.137
```

- calculated total energy (eV/cell) = -42.31
- density of states at the Fermi level (states/eV per cell) = 1.34
- magnetization (μB/f.u.) = 0.98

=====

First-principles (PBE-GGA) data for a geometry-optimized Tc2BH structure, as listed in the Alexandria database.

```
Tc2BH
1.0
3.043 0.000 0.000
1.521 2.635 0.000
1.521 0.878 5.732
H B Tc
1 1 2
Direct
0.000 0.000 0.000
0.500 0.500 0.500
0.100 0.100 0.700
0.900 0.900 0.300
```

- calculated total energy (eV/cell) = -30.24
- density of states at the Fermi level (states/eV per cell) = 2.64
- magnetization (μB/f.u.) = 0.00

=====

What is the density of states at the Fermi level in the first record?
5.10 states/eV per cell

=====

Copy entry 6 word for word.
First-principles (PBE-GGA) data for a geometry-optimized Tc3BH structure, as listed in the Alexandria database.

```
Tc3BH
1.0
-1.734 -3.365 0.135
2.827 -1.372 2.116
-1.831 1.069 3.140
H B Tc
1 1 3
Direct
0.000 0.000 0.000
0.500 0.500 0.500
0.000 0.500 0.000
0.000 0.000 0.500
0.500 0.000 0.000
```

- calculated total energy (eV/cell) = -38.52
- density of states at the Fermi level (states/eV per cell) = 4.34
- magnetization (μB/f.u.) = 0.00

=====

Which of these has the lowest density of states at the Fermi level?
TcB2H6

=====

The highest density of states at the Fermi level belongs to which entry?
number 1